VASP calculation (PBE) on Mg3H4Ir after structural relaxation.

Output
Space-group type: P-1, No. 2
N(E_F): 1.36 states/eV/cell
Final energy: -3.65 eV per atom
Total magnetic moment: 0.00 μB/cell
Energy relative to the lowest polymorph listed for this composition: 0.0475 eV per atom

Unit cell a=4.8115 b=4.7327 c=5.4714 alpha=89.99 beta=111.78 gamma=119.47
Element x y z (fractional)
H 0.5680 0.4502 0.6882
H 0.5591 0.9585 0.6872
H 0.0005 0.6843 0.2773
H 0.0095 0.1761 0.2782
Mg 0.0208 0.4351 0.6226
Mg 0.2841 0.0670 0.9825
Mg 0.5472 0.6987 0.3420
Ir 0.2843 0.0673 0.4827



VASP calculation (PBE) on PaSbSe after structural relaxation.

Output
Space-group type: I4/mmm, No. 139
N(E_F): 8.83 states/eV/cell
E_form (uncorrected): -910 meV/atom
Final energy: -6.61 eV per atom
Total magnetic moment: 2.12 μB/cell

Unit cell a=4.2029 b=4.2029 c=9.0517 alpha=103.42 beta=103.42 gamma=90.00
Each line ends with the local moment (μB).
Element x y z (fractional)
Sb 0.0000 0.5000 0.0000  -0.02
Sb 0.5000 0.0000 0.0000  -0.02
Se 0.1830 0.1830 0.3660  -0.03
Se 0.8170 0.8170 0.6340  -0.03
Pa 0.6455 0.6455 0.2909  0.96
Pa 0.3545 0.3545 0.7091  0.96



VASP calculation (PBE) on TaMn2Mo after structural relaxation.

Output
Space-group type: Immm, No. 71
Energy of formation: 0.063 eV/atom
N(E_F): 4.19 states/eV/cell
Final energy: -10.19 eV per atom
Total magnetic moment: 2.18 μB/cell
Energy relative to the lowest polymorph listed for this composition: 0.0965 eV per atom

Unit cell a=4.9395 b=4.9395 c=4.3955 alpha=63.59 beta=63.59 gamma=36.99
Each line ends with the local moment (μB).
Element x y z (fractional)
Mn 0.4951 0.4951 0.5048  1.38
Mn 0.0049 0.0049 0.9952  1.38
Mo 0.7500 0.7500 0.7500  -0.31
Ta 0.2500 0.2500 0.2500  -0.20



VASP calculation (PBE) on KVSi3 after structural relaxation.

Output
Space-group type: Pm-3m, No. 221
N(E_F): 2.61 states/eV/cell
E_form (uncorrected): 132 meV/atom
Final energy: -5.17 eV per atom
Total magnetic moment: 0.00 μB/cell
Energy relative to the lowest polymorph listed for this composition: 0.0000 eV per atom

Unit cell a=4.6898 b=4.6898 c=4.6898 alpha=90.00 beta=90.00 gamma=90.00
Element x y z (fractional)
Si 0.5000 0.0000 0.0000
Si 0.0000 0.0000 0.5000
Si 0.0000 0.5000 0.0000
K 0.5000 0.5000 0.5000
V 0.0000 0.0000 0.0000



VASP calculation (PBE) on CdHgTe2 after structural relaxation.

Output
Space-group type: P2_1/c, No. 14
N(E_F): 0.00 states/eV/cell
E_form (uncorrected): -263 meV/atom
Final energy: -2.14 eV per atom
Total magnetic moment: 0.00 μB/cell
Energy relative to the lowest polymorph listed for this composition: 0.0494 eV per atom

Unit cell a=18.9378 b=6.5315 c=6.4401 alpha=90.00 beta=134.36 gamma=90.00
Element x y z (fractional)
Te 0.8790 0.4492 0.0544
Te 0.3790 0.0508 0.5544
Te 0.1204 0.9626 0.5208
Te 0.1210 0.5508 0.9456
Te 0.3796 0.4626 0.9792
Te 0.8796 0.0374 0.4792
Te 0.6204 0.5374 0.0208
Te 0.6210 0.9492 0.4456
Hg 0.4049 0.7537 0.3230
Hg 0.0951 0.2537 0.1770
Hg 0.9049 0.7463 0.8230
Hg 0.5951 0.2463 0.6770
Cd 0.7480 0.2438 0.4963
Cd 0.2520 0.7562 0.5037
Cd 0.7520 0.7438 0.0037
Cd 0.2480 0.2562 0.9963



VASP calculation (PBE) on SrAlOs2 after structural relaxation.

Output
Space-group type: Pmmm, No. 47
Energy of formation: 0.445 eV/atom
N(E_F): 5.18 states/eV/cell
Final energy: -6.53 eV per atom
Total magnetic moment: 0.23 μB/cell

Unit cell a=2.8745 b=4.0053 c=6.6740 alpha=90.00 beta=90.00 gamma=90.00
Each line ends with the local moment (μB).
Element x y z (fractional)
Os 0.0000 0.0000 0.5721  0.10
Os 0.0000 0.0000 0.9279  0.10
Sr 0.5000 0.5000 0.2500  0.00
Al 0.5000 0.5000 0.7500  0.00